Here is crystalline Ac2Pm4Nd5 at its relaxed geometry from Alexandria. Energies are from PBE.

The structure in POSCAR format:
```
Ac2Pm4Nd5
1.0
6.5305 -3.5128 0.0000
6.5305 3.5128 0.0000
-6.5039 0.0000 8.8111
Ac Pm Nd
2 4 5
Direct
0.0662 0.0662 0.2428
0.9338 0.9338 0.7572
0.2624 0.2624 0.0323
0.3901 0.3901 0.6264
0.6099 0.6099 0.3736
0.7376 0.7376 0.9677
0.0771 0.6080 0.3328
0.3920 0.9229 0.6672
0.5000 0.5000 0.0000
0.6080 0.0771 0.3328
0.9229 0.3920 0.6672
```

- Distance to the lowest polymorph of the same formula: 0.107 eV/atom
- Final energy: -4.51 eV/atom
- Energy of formation: 0.1364 eV/atom